# La2MnAl3

A relaxed structure of La2MnAl3 (PBE, Alexandria).

Properties
The value obtained for the mass density is 5.22 g cm⁻³. Its formation energy is -2.1 eV/f.u.

The structure in CIF format:
```
data_La2MnAl3
_chemical_formula_sum 'La6 Mn3 Al9'
_cell_length_a 5.7700
_cell_length_b 5.7700
_cell_length_c 13.6906
_cell_angle_alpha 90.00
_cell_angle_beta 90.00
_cell_angle_gamma 120.00
_symmetry_space_group_name_H-M 'R -3 m'
_symmetry_Int_Tables_number 166
_symmetry_space_group_name_Hall '-R 3 2"'
loop_
_atom_site_label
_atom_site_type_symbol
_atom_site_fract_x
_atom_site_fract_y
_atom_site_fract_z
_atom_site_occupancy
La1 La 0.0000 0.0000 0.1246 1
Mn1 Mn 0.0000 0.0000 0.5000 1
Al1 Al 0.0000 0.5000 0.0000 1
```

***

# LaMnAl2

A relaxed structure of LaMnAl2 (PBE, Alexandria).

Properties
The value obtained for the mass density is 4.60 g cm⁻³. Its formation energy is -0.8 eV/f.u.

The structure in CIF format:
```
data_LaMnAl2
_chemical_formula_sum 'La3 Mn3 Al6'
_cell_length_a 4.3319
_cell_length_b 4.3319
_cell_length_c 16.5184
_cell_angle_alpha 90.00
_cell_angle_beta 90.00
_cell_angle_gamma 120.00
_symmetry_space_group_name_H-M 'R -3 m'
_symmetry_Int_Tables_number 166
_symmetry_space_group_name_Hall '-R 3 2"'
loop_
_atom_site_label
_atom_site_type_symbol
_atom_site_fract_x
_atom_site_fract_y
_atom_site_fract_z
_atom_site_occupancy
La1 La 0.0000 0.0000 0.0000 1
Mn1 Mn 0.0000 0.0000 0.5000 1
Al1 Al 0.0000 0.0000 0.2062 1
```

***

# LaMnAl2

A relaxed structure of LaMnAl2 (PBE, Alexandria).

Properties
The value obtained for the mass density is 5.55 g cm⁻³. Its formation energy is -0.6 eV/f.u.

The structure in CIF format:
```
data_LaMnAl2
_chemical_formula_sum 'La1 Mn1 Al2'
_cell_length_a 3.111
_cell_length_b 3.111
_cell_length_c 7.669
_cell_angle_alpha 90.00
_cell_angle_beta 90.00
_cell_angle_gamma 90.00
_symmetry_space_group_name_H-M 'P 4/m m m'
_symmetry_Int_Tables_number 123
_symmetry_space_group_name_Hall '-P 4 2'
loop_
_atom_site_label
_atom_site_type_symbol
_atom_site_fract_x
_atom_site_fract_y
_atom_site_fract_z
_atom_site_occupancy
La1 La 0.000 0.000 0.000 1
Mn1 Mn 0.000 0.000 0.500 1
Al1 Al 0.500 0.500 0.324 1
```

***

# LaMnAl

A relaxed structure of LaMnAl (PBE, Alexandria).

Properties
The value obtained for the mass density is 5.70 g cm⁻³. Its formation energy is 0.0 eV/f.u.

The structure in CIF format:
```
data_LaMnAl
_chemical_formula_sum 'La2 Mn2 Al2'
_cell_length_a 3.296
_cell_length_b 3.296
_cell_length_c 11.845
_cell_angle_alpha 90.00
_cell_angle_beta 90.00
_cell_angle_gamma 90.00
_symmetry_space_group_name_H-M 'I 4 m m'
_symmetry_Int_Tables_number 107
_symmetry_space_group_name_Hall 'I 4 -2'
loop_
_atom_site_label
_atom_site_type_symbol
_atom_site_fract_x
_atom_site_fract_y
_atom_site_fract_z
_atom_site_occupancy
La1 La 0.000 0.000 0.000 1
Mn1 Mn 0.000 0.000 0.686 1
Al1 Al 0.000 0.000 0.291 1
```

***

The lowest mass density belongs to which entry?
number 2

***

What is the mass density in the first record?
5.22 g cm⁻³